Compound: Sc2W
Source: Alexandria
Functional: PBE-GGA
Structure: relaxed

Cell and atoms, written as extended XYZ:
```
6
Lattice="1.6728 5.4513 0.0215 -1.6728 5.4513 0.0215 0.0000 2.5464 6.9876" Properties=species:S:1:pos:R:3 pbc="T T T"
Sc 0.0000 7.5682 5.5013
Sc 0.0000 10.5939 4.3758
Sc 0.0000 5.8808 1.5293
W 0.0000 4.3961 6.5953
Sc 0.0000 2.8551 2.6548
W 0.0000 9.0529 0.4353
```

Computed properties:
Space-group type: C2/m, No. 12
DFT total energy in eV/atom: -8.426
Energy relative to the lowest polymorph listed for this composition in eV per formula unit: 0.00
ΔE_f in eV per atom: 0.113


Compound: ScW2
Source: Alexandria
Functional: PBE-GGA
Structure: relaxed

Cell and atoms, written as extended XYZ:
```
6
Lattice="2.7414 0.0000 0.0000 0.0000 4.7370 0.0000 0.0000 0.0000 8.0610" Properties=species:S:1:pos:R:3 pbc="T T T"
Sc 0.0000 0.0000 0.0000
Sc 1.3707 2.3685 4.0305
W 1.0933 2.3685 6.7625
W 2.4639 0.0000 5.3290
W 0.2774 0.0000 2.7320
W 1.6481 2.3685 1.2985
```

Computed properties:
Space-group type: Pnnm, No. 58
DFT total energy in eV/atom: -10.423
ΔE_f in eV per atom: 0.323


Compound: ScW
Source: Alexandria
Functional: PBE-GGA
Structure: relaxed

Cell and atoms, written as extended XYZ:
```
2
Lattice="-1.6897 -0.1698 4.0333 -0.7032 -3.8709 1.9166 2.4958 -1.2602 3.3667" Properties=species:S:1:pos:R:3 pbc="T T T"
Sc 0.0000 0.0000 0.0000
W 0.0772 -3.9756 6.9875
```

Computed properties:
Space-group type: F-43m, No. 216
DFT total energy in eV/atom: -6.721
Energy relative to the lowest polymorph listed for this composition in eV per formula unit: 5.66
ΔE_f in eV per atom: 2.921


Compound: ScW
Source: Alexandria
Functional: PBE-GGA
Structure: relaxed

Cell and atoms, written as extended XYZ:
```
16
Lattice="-0.6008 10.3196 5.2551 -2.0111 -5.2752 10.1292 2.9799 -0.1010 0.5390" Properties=species:S:1:pos:R:3 pbc="T T T"
W -0.5720 4.4161 12.5048
Sc -1.6170 5.7551 10.0173
Sc -1.9587 0.1801 10.8613
Sc 0.2364 7.9271 8.6938
Sc -0.9950 -0.7107 5.3670
W -0.3134 -2.1309 9.8487
W -1.5138 -0.6726 8.2421
W -1.8560 3.1001 10.8411
W -0.7559 1.9444 4.5432
W -1.0982 5.7170 7.1422
W 0.9399 0.5273 3.4185
W 0.6813 7.0743 6.0746
Sc -0.8110 1.7611 13.3286
Sc 0.1315 -2.9836 7.2296
Sc 1.1789 3.1824 2.5947
Sc -0.6533 4.8643 4.5230
```

Computed properties:
Space-group type: I4/m, No. 87
DFT total energy in eV/atom: -8.687
Energy relative to the lowest polymorph listed for this composition in eV per formula unit: 1.73
ΔE_f in eV per atom: 0.956


Compound: ScW
Source: Alexandria
Functional: PBE-GGA
Structure: relaxed

Cell and atoms, written as extended XYZ:
```
2
Lattice="-1.6102 -0.6598 2.8272 1.4251 -2.9963 0.1124 2.5294 1.2681 1.7365" Properties=species:S:1:pos:R:3 pbc="T T T"
W 1.1721 -1.1940 2.3381
Sc 0.0000 0.0000 0.0000
```

Computed properties:
Space-group type: Pm-3m, No. 221
DFT total energy in eV/atom: -9.033
Energy relative to the lowest polymorph listed for this composition in eV per formula unit: 1.03
ΔE_f in eV per atom: 0.609


Compound: Sc2W
Source: Alexandria
Functional: PBE-GGA
Structure: relaxed

Cell and atoms, written as extended XYZ:
```
12
Lattice="6.5225 0.0000 0.0000 0.0000 6.5225 0.0000 0.0000 0.0000 6.5225" Properties=species:S:1:pos:R:3 pbc="T T T"
Sc 1.6306 1.6306 1.6306
W 0.0000 0.0000 0.0000
Sc 1.6306 4.8921 1.6306
Sc 4.8921 1.6306 1.6306
Sc 4.8916 4.8921 1.6306
Sc 1.6306 1.6306 4.8921
W 3.2612 3.2612 0.0000
W 0.0000 3.2612 3.2612
Sc 4.8921 1.6306 4.8916
Sc 1.6306 4.8916 4.8921
Sc 4.8916 4.8916 4.8916
W 3.2612 0.0000 3.2612
```

Computed properties:
Space-group type: Fm-3m, No. 225
DFT total energy in eV/atom: -7.706
Energy relative to the lowest polymorph listed for this composition in eV per formula unit: 2.16
ΔE_f in eV per atom: 0.833


Compound: Sc4W3
Source: Alexandria
Functional: PBE-GGA
Structure: relaxed

Cell and atoms, written as extended XYZ:
```
7
Lattice="2.6957 -4.6691 0.0000 2.6957 4.6691 0.0000 0.0000 0.0000 5.5342" Properties=species:S:1:pos:R:3 pbc="T T T"
W 2.6957 0.0000 0.0000
Sc 2.6957 -1.5564 2.7671
Sc 2.6957 1.5564 2.7671
Sc 0.0000 0.0000 1.3785
W 1.3479 -2.3346 0.0000
Sc 0.0000 0.0000 4.1557
W 1.3479 2.3346 0.0000
```

Computed properties:
Space-group type: P6/mmm, No. 191
DFT total energy in eV/atom: -8.992
Energy relative to the lowest polymorph listed for this composition in eV per formula unit: 0.02
ΔE_f in eV per atom: 0.177


Compound: ScW3
Source: Alexandria
Functional: PBE-GGA
Structure: relaxed

Cell and atoms, written as extended XYZ:
```
4
Lattice="-1.3855 -2.6414 1.1153 2.8355 -1.4460 0.0978 0.9155 2.2291 6.4164" Properties=species:S:1:pos:R:3 pbc="T T T"
W 1.3873 -0.4311 5.2484
W 0.4577 1.1146 3.2082
Sc 0.0000 0.0000 0.0000
W 0.9782 -1.4272 2.3812
```

Computed properties:
Space-group type: P4/mmm, No. 123
DFT total energy in eV/atom: -11.088
ΔE_f in eV per atom: 0.210


Compound: ScW3
Source: Alexandria
Functional: PBE-GGA
Structure: relaxed

Cell and atoms, written as extended XYZ:
```
4
Lattice="-0.6857 -2.4029 -1.4219 8.3411 2.1306 -4.7162 0.7581 -2.5631 1.0592" Properties=species:S:1:pos:R:3 pbc="T T T"
W 2.2023 -3.1883 -1.4873
W 6.2111 0.3529 -3.5915
Sc 0.0000 0.0000 0.0000
W 4.2067 -1.4177 -2.5394
```

Computed properties:
Space-group type: R-3m, No. 166
DFT total energy in eV/atom: -10.808
ΔE_f in eV per atom: 0.490


Compound: ScW
Source: Alexandria
Functional: PBE-GGA
Structure: relaxed

Cell and atoms, written as extended XYZ:
```
8
Lattice="-2.7382 0.6290 4.5198 2.2318 -4.4130 1.9662 3.9803 2.9071 2.0068" Properties=species:S:1:pos:R:3 pbc="T T T"
W 3.3302 -1.9332 4.7529
W 2.7750 1.2421 5.3080
W 0.3696 -0.0933 0.9035
Sc 4.6393 0.0191 3.4460
W 0.4732 -0.9697 6.0211
Sc 0.7619 -3.2890 4.6905
Sc 1.3832 -0.3492 3.3815
Sc 0.1635 1.8651 5.4675
```

Computed properties:
Space-group type: P2_13, No. 198
DFT total energy in eV/atom: -8.961
Energy relative to the lowest polymorph listed for this composition in eV per formula unit: 1.18
ΔE_f in eV per atom: 0.681


Compound: Sc2W
Source: Alexandria
Functional: PBE-GGA
Structure: relaxed

Cell and atoms, written as extended XYZ:
```
6
Lattice="3.3544 3.3033 -3.6085 -5.8919 -0.3916 0.5631 0.0767 3.3246 3.1148" Properties=species:S:1:pos:R:3 pbc="T T T"
W 2.7893 3.9010 -2.5662
Sc -1.9429 3.6569 1.1435
Sc -0.5179 2.5794 -1.0741
Sc -3.6590 1.3242 0.3430
Sc 1.1982 4.9121 -0.2736
W -5.2501 2.3354 2.6356
```

Computed properties:
Space-group type: Cmcm, No. 63
DFT total energy in eV/atom: -8.345
Energy relative to the lowest polymorph listed for this composition in eV per formula unit: 0.24
ΔE_f in eV per atom: 0.194


Compound: Sc2W
Source: Alexandria
Functional: PBE-GGA
Structure: relaxed

Cell and atoms, written as extended XYZ:
```
6
Lattice="1.3739 0.1073 4.5865 -2.6109 -3.6679 -1.6324 5.0151 -2.9319 -1.4337" Properties=species:S:1:pos:R:3 pbc="T T T"
Sc 0.0000 0.0000 0.0000
W 1.2994 -1.8841 2.1551
Sc 3.8069 -3.3500 1.4383
Sc 2.5075 -1.4659 -0.7168
W 2.4787 -4.6084 -0.6347
Sc -0.0289 -3.1425 0.0822
```

Computed properties:
Space-group type: P6_3/mmc, No. 194
DFT total energy in eV/atom: -8.246
Energy relative to the lowest polymorph listed for this composition in eV per formula unit: 0.54
ΔE_f in eV per atom: 0.293


Compound: ScW
Source: Alexandria
Functional: PBE-GGA
Structure: relaxed

Cell and atoms, written as extended XYZ:
```
4
Lattice="-0.2561 -2.0366 2.3473 7.9016 4.6696 2.8424 -1.8613 0.6357 2.4196" Properties=species:S:1:pos:R:3 pbc="T T T"
Sc 5.1679 3.0182 3.1826
Sc 0.2289 0.1337 0.1410
W 2.7182 1.5328 3.6976
W 0.5612 0.2182 4.3928
```

Computed properties:
Space-group type: R-3m, No. 166
DFT total energy in eV/atom: -9.315
Energy relative to the lowest polymorph listed for this composition in eV per formula unit: 0.47
ΔE_f in eV per atom: 0.328